No. 1
La5Tb4Cd4 | PBE | optimized geometry

Cell: 9.246 9.246 9.246 Å, 94.67 94.67 146.84°
Fractional positions:
1 La 0.000 0.000 0.000
2 La 0.314 0.612 0.926
3 La 0.388 0.314 0.702
4 La 0.612 0.686 0.298
5 La 0.686 0.388 0.074
6 Tb 0.095 0.397 0.493
7 Tb 0.397 0.905 0.302
8 Tb 0.603 0.095 0.698
9 Tb 0.905 0.603 0.507
10 Cd 0.095 0.757 0.852
11 Cd 0.243 0.095 0.338
12 Cd 0.757 0.905 0.662
13 Cd 0.905 0.243 0.148

size of the total moment: 0.000 Bohr magnetons per cell
electronic total energy: -3.769 eV/atom

=====

No. 2
CuRhCl2 | PBE | optimized geometry

Cell: 4.598 4.598 4.598 Å, 60.00 60.00 60.00°
Fractional positions:
1 Cu 0.000 0.000 0.000
2 Rh 0.750 0.750 0.750
3 Cl 0.250 0.250 0.250
4 Cl 0.500 0.500 0.500

distance to the lowest polymorph of the same formula: 866 meV/atom
E_form (uncorrected): 0.69 eV/atom
size of the total moment: 2.115 Bohr magnetons per cell

=====

No. 3
Pa2Co21B6 | PBE | optimized geometry

Cell: 7.523 7.523 7.523 Å, 60.00 60.00 60.00°
Fractional positions:
1 Pa 0.250 0.250 0.250
2 Pa 0.750 0.750 0.750
3 Co 0.000 0.000 0.000
4 Co 0.000 0.000 0.335
5 Co 0.000 0.000 0.665
6 Co 0.000 0.335 0.000
7 Co 0.000 0.335 0.665
8 Co 0.000 0.665 0.000
9 Co 0.000 0.665 0.335
10 Co 0.154 0.615 0.615
11 Co 0.335 0.000 0.000
12 Co 0.335 0.000 0.665
13 Co 0.335 0.665 0.000
14 Co 0.385 0.385 0.385
15 Co 0.385 0.385 0.846
16 Co 0.385 0.846 0.385
17 Co 0.615 0.154 0.615
18 Co 0.615 0.615 0.154
19 Co 0.615 0.615 0.615
20 Co 0.665 0.000 0.000
21 Co 0.665 0.000 0.335
22 Co 0.665 0.335 0.000
23 Co 0.846 0.385 0.385
24 B 0.274 0.274 0.726
25 B 0.274 0.726 0.274
26 B 0.274 0.726 0.726
27 B 0.726 0.274 0.274
28 B 0.726 0.274 0.726
29 B 0.726 0.726 0.274

size of the total moment: 17.706 Bohr magnetons per cell
electronic total energy: -7.474 eV/atom

=====

No. 4
RbSr2Zn | PBE | optimized geometry

Cell: 11.866 11.866 11.866 Å, 22.56 22.56 22.56°
Fractional positions:
1 Rb 0.000 0.000 0.000
2 Sr 0.551 0.551 0.551
3 Sr 0.782 0.782 0.782
4 Zn 0.166 0.166 0.166

size of the total moment: 0.000 Bohr magnetons per cell
electronic total energy: -1.393 eV/atom

=====

No. 5
Ba2AlFe | PBE | optimized geometry

Cell: 3.610 3.610 9.650 Å, 90.00 90.00 90.00°
Fractional positions:
1 Ba 0.000 0.000 0.000
2 Ba 0.500 0.500 0.414
3 Al 0.500 0.500 0.745
4 Fe 0.000 0.000 0.672

size of the total moment: 1.900 Bohr magnetons per cell
electronic total energy: -3.740 eV/atom

=====

No. 6
Ti2Mn5Be2Fe | PBE | optimized geometry

Cell: 8.665 8.665 3.083 Å, 90.00 90.00 90.00°
Fractional positions:
1 Ti 0.170 0.330 0.000
2 Ti 0.330 0.830 0.000
3 Ti 0.670 0.170 0.000
4 Ti 0.830 0.670 0.000
5 Mn 0.000 0.500 0.500
6 Mn 0.067 0.798 0.500
7 Mn 0.202 0.067 0.500
8 Mn 0.298 0.567 0.500
9 Mn 0.433 0.298 0.500
10 Mn 0.500 0.000 0.500
11 Mn 0.567 0.702 0.500
12 Mn 0.702 0.433 0.500
13 Mn 0.798 0.933 0.500
14 Mn 0.933 0.202 0.500
15 Be 0.125 0.625 0.000
16 Be 0.375 0.125 0.000
17 Be 0.625 0.875 0.000
18 Be 0.875 0.375 0.000
19 Fe 0.000 0.000 0.000
20 Fe 0.500 0.500 0.000

size of the total moment: 15.047 Bohr magnetons per cell
electronic total energy: -7.803 eV/atom

=====

No. 7
MnIn2P | PBE | optimized geometry

Cell: 8.397 8.397 8.397 Å, 23.11 23.11 23.11°
Fractional positions:
1 Mn 0.000 0.000 0.000
2 In 0.525 0.525 0.525
3 In 0.752 0.752 0.752
4 P 0.283 0.283 0.283

size of the total moment: 2.511 Bohr magnetons per cell
electronic total energy: -4.976 eV/atom

=====

No. 8
PaAlVOs | PBE | optimized geometry

Cell: 4.622 4.622 4.622 Å, 60.00 60.00 60.00°
Fractional positions:
1 Pa 0.000 0.000 0.000
2 Al 0.500 0.500 0.500
3 V 0.750 0.750 0.750
4 Os 0.250 0.250 0.250

size of the total moment: 2.013 Bohr magnetons per cell
electronic total energy: -8.603 eV/atom

=====

No. 9
Mn2HgRh | PBE | optimized geometry

Cell: 3.021 3.021 6.777 Å, 90.00 90.00 90.00°
Fractional positions:
1 Mn 0.000 0.000 0.000
2 Mn 0.500 0.500 0.226
3 Hg 0.500 0.500 0.721
4 Rh 0.000 0.000 0.423

size of the total moment: 6.322 Bohr magnetons per cell
electronic total energy: -6.327 eV/atom

=====

- What is the formula in the first record?
  La5Tb4Cd4